{"formula": "Ho2ScSe", "functional": "PBE-GGA", "state": "relaxed", "de_polymorph_ev_per_atom": 0.0136, "spacegroup": "No. 166", "formation_energy_uncorrected_ev_per_atom": -0.745, "lattice": [[1.850, 1.068, 9.175], [-1.850, 1.068, 9.175], [0.000, -2.136, 9.175]], "species": ["Ho", "Ho", "Sc", "Se"], "fractional_positions": [[0.236, 0.236, 0.236], [0.764, 0.764, 0.764], [0.000, 0.000, 0.000], [0.500, 0.500, 0.500]]}

***

{"formula": "HoSc4Se5", "functional": "PBE-GGA", "state": "relaxed", "de_polymorph_ev_per_atom": 0.0055, "spacegroup": "No. 71", "formation_energy_uncorrected_ev_per_atom": -1.609, "lattice": [[-1.956, 2.766, 9.803], [1.956, -2.766, 9.803], [1.956, 2.766, -9.803]], "species": ["Ho", "Sc", "Sc", "Sc", "Sc", "Se", "Se", "Se", "Se", "Se"], "fractional_positions": [[0.000, 0.000, 0.000], [0.203, 0.203, 0.000], [0.400, 0.400, 0.000], [0.600, 0.600, 0.000], [0.797, 0.797, 0.000], [0.105, 0.605, 0.500], [0.301, 0.801, 0.500], [0.500, 0.000, 0.500], [0.699, 0.199, 0.500], [0.895, 0.395, 0.500]]}

***

{"formula": "Ho4ScSe5", "functional": "PBE-GGA", "state": "relaxed", "de_polymorph_ev_per_atom": 0.0000, "spacegroup": "No. 79", "formation_energy_uncorrected_ev_per_atom": -1.689, "lattice": [[-4.490, 4.490, 2.854], [4.490, -4.490, 2.854], [4.490, 4.490, -2.854]], "species": ["Ho", "Ho", "Ho", "Ho", "Sc", "Se", "Se", "Se", "Se", "Se"], "fractional_positions": [[0.096, 0.696, 0.792], [0.304, 0.096, 0.400], [0.696, 0.904, 0.600], [0.904, 0.304, 0.208], [0.499, 0.499, 0.000], [0.209, 0.399, 0.609], [0.399, 0.791, 0.190], [0.600, 0.209, 0.810], [0.791, 0.600, 0.391], [0.999, 0.999, 0.000]]}